# 1
CdNi2W (GGA-PBE, optimized geometry); magnetic moment = 0.00 μB/cell; SG = R3m (160); E_tot = -6.030 eV/atom; energy of formation = 328.0 meV per atom
1.0
-1.257 6.809 5.724
-3.881 5.968 5.479
-2.200 4.744 7.305
W Cd Ni
1 1 2
direct
0.510 0.510 0.510 W
0.744 0.744 0.744 Cd
0.253 0.253 0.253 Ni
0.993 0.993 0.993 Ni

=====

# 2
Fe3TcRh (GGA-PBE, optimized geometry); magnetic moment = 6.06 μB/cell; SG = Pm-3m (221); E_tot = -7.147 eV/atom; energy of formation = 1473.7 meV per atom; offset from the most stable computed form = 0.000 eV/atom
1.0
4.362 0.000 0.000
0.000 4.362 0.000
0.000 0.000 4.362
Fe Rh Tc
3 1 1
direct
0.000 0.000 0.500 Fe
0.000 0.500 0.000 Fe
0.500 0.000 0.000 Fe
0.500 0.500 0.500 Rh
0.000 0.000 0.000 Tc

=====

# 3
RbCaCoOs2 (GGA-PBE, optimized geometry); magnetic moment = 0.00 μB/cell; SG = P4/mmm (123); E_tot = -5.306 eV/atom; energy of formation = 1200.5 meV per atom
1.0
4.579 0.000 0.000
0.000 5.287 0.000
0.000 0.000 4.579
Os Rb Co Ca
2 1 1 1
direct
0.500 0.000 0.000 Os
0.000 0.000 0.500 Os
0.500 0.500 0.500 Rb
0.000 0.000 0.000 Co
0.000 0.500 0.000 Ca

=====

# 4
ZnCrRu2 (GGA-PBE, optimized geometry); magnetic moment = 0.01 μB/cell; SG = Cmmm (65); E_tot = -7.170 eV/atom; energy of formation = 191.9 meV per atom
1.0
2.650 0.004 0.000
-1.125 2.399 0.000
0.000 0.000 8.595
Ru Cr Zn
2 1 1
direct
0.000 0.000 0.988 Ru
0.000 0.000 0.512 Ru
0.500 0.500 0.750 Cr
0.500 0.500 0.250 Zn

=====

# 5
Ho7Er4In (GGA-PBE, optimized geometry); magnetic moment = 0.00 μB/cell; SG = C2/m (12); E_tot = -4.220 eV/atom; energy of formation = 199.6 meV per atom; offset from the most stable computed form = 0.028 eV/atom
1.0
-4.027 2.047 3.665
1.677 -0.005 6.462
2.748 11.060 1.461
Ho Er In
7 4 1
direct
0.632 0.210 0.527 Ho
0.798 0.484 0.919 Ho
0.368 0.790 0.473 Ho
0.202 0.516 0.081 Ho
0.097 0.085 0.722 Ho
0.500 0.000 0.000 Ho
0.903 0.915 0.278 Ho
0.368 0.495 0.769 Er
0.858 0.665 0.619 Er
0.142 0.335 0.381 Er
0.632 0.505 0.231 Er
0.000 0.000 0.000 In

=====

# 6
PrS2I2 (GGA-PBE, optimized geometry); magnetic moment = 0.00 μB/cell; SG = Immm (71); E_tot = -4.155 eV/atom; raw formation energy = -0.9280 eV per atom
1.0
4.236 0.000 1.611
-0.848 5.094 2.230
-0.842 -0.793 8.588
I S Pr
2 2 1
direct
0.645 0.145 0.710 I
0.355 0.855 0.290 I
0.283 0.500 0.000 S
0.717 0.500 0.000 S
0.000 0.000 0.000 Pr

=====

N(E_F) values, unit states/eV/cell, following the record order: 3.5 6.8 5.2 4.9 20.4 1.8.